(1)
A relaxed LaZr2Tc crystal. Source: the Alexandria database, functional PBE-GGA.

```
data_LaZr2Tc
_chemical_formula_sum 'La2 Zr4 Tc2'
_space_group_name_H-M_alt 'I m m 2'
_space_group_IT_number 44
_space_group_name_Hall 'I 2 -2'
_cell_length_a 3.488
_cell_length_b 5.103
_cell_length_c 10.380
_cell_angle_alpha 90.00
_cell_angle_beta 90.00
_cell_angle_gamma 90.00
loop_
_atom_site_label
_atom_site_fract_x
_atom_site_fract_y
_atom_site_fract_z
_atom_site_occupancy
La1 0.000 0.000 0.000 1
Zr1 0.000 0.000 0.422 1
Zr2 0.000 0.500 0.219 1
Tc1 0.000 0.500 0.729 1
```

## Properties
Size of the total moment = 0.00 μB per cell
Energy relative to the elements = 0.045 eV/atom
Total DFT energy (no corrections) = -8.052 eV/atom
Density of states at the Fermi level = 0.7591 states/eV per atom
Energy relative to the lowest polymorph listed for this composition = 156 meV per atom

(2)
A relaxed La2ZrTc crystal. Source: the Alexandria database, functional PBE-GGA.

```
data_La2ZrTc
_chemical_formula_sum 'La8 Zr4 Tc4'
_space_group_name_H-M_alt 'F -4 3 m'
_space_group_IT_number 216
_space_group_name_Hall 'F -4 2 3'
_cell_length_a 7.255
_cell_length_b 7.255
_cell_length_c 7.255
_cell_angle_alpha 90.00
_cell_angle_beta 90.00
_cell_angle_gamma 90.00
loop_
_atom_site_label
_atom_site_fract_x
_atom_site_fract_y
_atom_site_fract_z
_atom_site_occupancy
La1 0.000 0.000 0.000 1
La2 0.250 0.250 0.250 1
Zr1 0.250 0.250 0.750 1
Tc1 0.000 0.000 0.500 1
```

## Properties
Size of the total moment = 0.02 μB per cell
Energy relative to the elements = 0.300 eV/atom
Total DFT energy (no corrections) = -6.892 eV/atom
Density of states at the Fermi level = 1.9023 states/eV per atom
Energy relative to the lowest polymorph listed for this composition = 293 meV per atom

(3)
A relaxed LaZr2Tc crystal. Source: the Alexandria database, functional PBE-GGA.

```
data_LaZr2Tc
_chemical_formula_sum 'La1 Zr2 Tc1'
_space_group_name_H-M_alt 'P m m m'
_space_group_IT_number 47
_space_group_name_Hall '-P 2 2'
_cell_length_a 3.479
_cell_length_b 4.971
_cell_length_c 5.112
_cell_angle_alpha 90.00
_cell_angle_beta 90.00
_cell_angle_gamma 90.00
loop_
_atom_site_label
_atom_site_fract_x
_atom_site_fract_y
_atom_site_fract_z
_atom_site_occupancy
La1 0.000 0.000 0.000 1
Zr1 0.000 0.500 0.500 1
Zr2 0.500 0.500 0.000 1
Tc1 0.500 0.000 0.500 1
```

## Properties
Size of the total moment = 0.00 μB per cell
Energy relative to the elements = 0.248 eV/atom
Total DFT energy (no corrections) = -7.849 eV/atom
Density of states at the Fermi level = 1.4411 states/eV per atom
Energy relative to the lowest polymorph listed for this composition = 359 meV per atom